(1)
A relaxed LaPm6Ho3 crystal. Source: Alexandria, functional PBE.

Summary:
offset from the most stable computed form = 96 meV per atom

a b c (Å): 7.001 7.001 7.001
angles (deg): 90.66 90.66 90.66
Atoms (fractional coordinates):
La 0.000 0.000 0.000
Pm 0.000 0.330 0.670
Pm 0.174 0.826 0.500
Pm 0.330 0.670 0.000
Pm 0.500 0.174 0.826
Pm 0.670 0.000 0.330
Pm 0.826 0.500 0.174
Ho 0.254 0.254 0.254
Ho 0.500 0.500 0.500
Ho 0.746 0.746 0.746


(2)
A relaxed GdYTmLu crystal. Source: Alexandria, functional PBE.

a b c (Å): 5.621 5.621 5.621
angles (deg): 60.00 60.00 60.00
Atoms (fractional coordinates):
Gd 0.000 0.000 0.000
Y 0.500 0.500 0.500
Tm 0.250 0.250 0.250
Lu 0.750 0.750 0.750


(3)
A relaxed BeBiPt3 crystal. Source: Alexandria, functional PBE.

Summary:
offset from the most stable computed form = 184 meV per atom

a b c (Å): 3.953 3.953 5.494
angles (deg): 90.00 90.00 90.00
Atoms (fractional coordinates):
Be 0.000 0.000 0.000
Bi 0.500 0.500 0.771
Pt 0.000 0.000 0.590
Pt 0.000 0.500 0.220
Pt 0.500 0.000 0.220


| no. | size of the total moment (μB per cell) | density of states at the Fermi level (states/eV/atom) | E_form (eV/atom) |
| --- | --- | --- | --- |
| 1 | 0.01 | 2.0044 | 0.2400 |
| 2 | 7.72 | 2.0461 | 0.1096 |
| 3 | 0.00 | 0.4635 | -0.2482 |